No. 1
Here is a relaxed structure of VPd12Au7 from the Alexandria database. Energies are from PBE.

Lattice parameters (Å, degrees): 7.2244 7.2244 7.2244 104.41 104.41 104.41
Sites, in units of the cell vectors:
1 V 0.0000 0.0000 0.0000
2 Pd 0.7666 0.2827 0.5364
3 Pd 0.7173 0.4636 0.2334
4 Pd 0.3520 0.0780 0.2945
5 Pd 0.9220 0.7055 0.6480
6 Pd 0.4636 0.2334 0.7173
7 Pd 0.7055 0.6480 0.9220
8 Pd 0.2945 0.3520 0.0780
9 Pd 0.5364 0.7666 0.2827
10 Pd 0.0780 0.2945 0.3520
11 Pd 0.6480 0.9220 0.7055
12 Pd 0.2827 0.5364 0.7666
13 Pd 0.2334 0.7173 0.4636
14 Au 0.1305 0.6866 0.0545
15 Au 0.3134 0.9455 0.8695
16 Au 0.9455 0.8695 0.3134
17 Au 0.5000 0.5000 0.5000
18 Au 0.0545 0.1305 0.6866
19 Au 0.6866 0.0545 0.1305
20 Au 0.8695 0.3134 0.9455

Calculated values
N(E_F), states/eV per cell: 13.65
Total DFT energy (no corrections), eV for the cell shown: -94.37
Space-group type: R-3
V, Å³ per cell: 334
ΔH_f (0 K), eV per atom: 0.000

No. 2
Here is a relaxed structure of SrGdZnIr from the Alexandria database. Energies are from PBE.

Lattice parameters (Å, degrees): 5.0931 5.0931 5.0931 60.00 60.00 60.00
Site moments in Bohr magnetons follow the coordinates.
Sites, in units of the cell vectors:
1 Gd 0.5000 0.5000 0.5000  7.03
2 Sr 0.0000 0.0000 0.0000  0.01
3 Zn 0.2500 0.2500 0.2500  0.01
4 Ir 0.7500 0.7500 0.7500  -0.04

Calculated values
N(E_F), states/eV per cell: 3.73
Total DFT energy (no corrections), eV for the cell shown: -26.99
Space-group type: F-43m
V, Å³ per cell: 93
ΔH_f (0 K), eV per atom: -0.272

No. 3
Here is a relaxed structure of ZnInGa from the Alexandria database. Energies are from PBE.

Lattice parameters (Å, degrees): 4.1185 4.1185 7.2766 90.00 90.00 90.00
Sites, in units of the cell vectors:
1 Zn 0.0000 0.5000 0.7478
2 Zn 0.5000 0.0000 0.2522
3 Ga 0.0000 0.0000 0.5000
4 Ga 0.5000 0.5000 0.5000
5 In 0.0000 0.5000 0.1373
6 In 0.5000 0.0000 0.8627

Calculated values
N(E_F), states/eV per cell: 2.68
Total DFT energy (no corrections), eV for the cell shown: -13.82
Space-group type: P4/nmm
V, Å³ per cell: 123
ΔH_f (0 K), eV per atom: 0.043